No. 1
# YZr2GaC | Alexandria via LeMat-Bulk | PBE | relaxed
# E_form: -0.481 eV/atom
# Raw total energy: -7.643 eV per atom
data_YZr2GaC
_chemical_formula_sum 'Y1 Zr2 Ga1 C1'
_symmetry_space_group_name_H-M 'P 4/m m m'
_symmetry_Int_Tables_number 123
_symmetry_space_group_name_Hall '-P 4 2'
_cell_length_a 4.552
_cell_length_b 4.552
_cell_length_c 4.784
_cell_angle_alpha 90.00
_cell_angle_beta 90.00
_cell_angle_gamma 90.00
loop_
_atom_site_label
_atom_site_type_symbol
_atom_site_fract_x
_atom_site_fract_y
_atom_site_fract_z
Y1 Y 0.000 0.000 0.000
Zr1 Zr 0.000 0.500 0.500
Ga1 Ga 0.500 0.500 0.000
C1 C 0.000 0.000 0.500

---

No. 2
# CaCrPd | Alexandria via LeMat-Bulk | PBE | relaxed
# E_form: 0.073 eV/atom
# Raw total energy: -5.533 eV per atom
# Excess energy over the best structure of this formula in the dataset: 15.5 kJ per mole of atoms
data_CaCrPd
_chemical_formula_sum 'Ca2 Cr2 Pd2'
_symmetry_space_group_name_H-M 'P -1'
_symmetry_Int_Tables_number 2
_cell_length_a 3.062
_cell_length_b 4.653
_cell_length_c 8.474
_cell_angle_alpha 104.63
_cell_angle_beta 98.25
_cell_angle_gamma 96.52
loop_
_symmetry_equiv_pos_as_xyz
'x,y,z'
'-x,-y,-z'
loop_
_atom_site_label
_atom_site_type_symbol
_atom_site_fract_x
_atom_site_fract_y
_atom_site_fract_z
Ca1 Ca 0.181 0.180 0.360
Cr1 Cr 0.128 0.827 0.000
Pd1 Pd 0.390 0.388 0.780

---

No. 3
# ReNiW2 | Alexandria via LeMat-Bulk | PBE | relaxed
# E_form: 0.125 eV/atom
# Raw total energy: -10.909 eV per atom
# Excess energy over the best structure of this formula in the dataset: 6.6 kJ per mole of atoms
data_ReNiW2
_chemical_formula_sum 'Re1 Ni1 W2'
_symmetry_space_group_name_H-M 'P 4 m m'
_symmetry_Int_Tables_number 99
_cell_length_a 3.206
_cell_length_b 3.206
_cell_length_c 5.707
_cell_angle_alpha 90.00
_cell_angle_beta 90.00
_cell_angle_gamma 90.00
loop_
_symmetry_equiv_pos_as_xyz
'x,y,z'
'-y,x,z'
'-x,-y,z'
'y,-x,z'
'-x,y,z'
'y,x,z'
'x,-y,z'
'-y,-x,z'
loop_
_atom_site_label
_atom_site_type_symbol
_atom_site_fract_x
_atom_site_fract_y
_atom_site_fract_z
Re1 Re 0.000 0.000 0.000
Ni1 Ni 0.500 0.500 0.756
W1 W 0.000 0.000 0.543
W2 W 0.500 0.500 0.259

---

No. 4
# NaTb2PmHg4 | Alexandria via LeMat-Bulk | PBE | relaxed
# E_form: -0.411 eV/atom
# Raw total energy: -2.478 eV per atom
data_NaTb2PmHg4
_chemical_formula_sum 'Na3 Tb6 Pm3 Hg12'
_symmetry_space_group_name_H-M 'R -3 m'
_symmetry_Int_Tables_number 166
_symmetry_space_group_name_Hall '-R 3 2"'
_cell_length_a 5.2474
_cell_length_b 5.2474
_cell_length_c 26.1766
_cell_angle_alpha 90.00
_cell_angle_beta 90.00
_cell_angle_gamma 120.00
loop_
_atom_site_label
_atom_site_type_symbol
_atom_site_fract_x
_atom_site_fract_y
_atom_site_fract_z
Na1 Na 0.0000 0.0000 0.0000
Tb1 Tb 0.0000 0.0000 0.2546
Pm1 Pm 0.0000 0.0000 0.5000
Hg1 Hg 0.0000 0.0000 0.1229
Hg2 Hg 0.0000 0.0000 0.3748

---

No. 5
# TbPr2Sm | Alexandria via LeMat-Bulk | PBE | relaxed
# E_form: 0.017 eV/atom
# Raw total energy: -4.710 eV per atom
# Excess energy over the best structure of this formula in the dataset: 0.5 kJ per mole of atoms
data_TbPr2Sm
_chemical_formula_sum 'Tb2 Pr4 Sm2'
_symmetry_space_group_name_H-M 'I -4 m 2'
_symmetry_Int_Tables_number 119
_symmetry_space_group_name_Hall 'I -4 -2'
_cell_length_a 5.172
_cell_length_b 5.172
_cell_length_c 10.345
_cell_angle_alpha 90.00
_cell_angle_beta 90.00
_cell_angle_gamma 90.00
loop_
_atom_site_label
_atom_site_type_symbol
_atom_site_fract_x
_atom_site_fract_y
_atom_site_fract_z
Tb1 Tb 0.000 0.000 0.000
Pr1 Pr 0.000 0.000 0.500
Pr2 Pr 0.000 0.500 0.750
Sm1 Sm 0.000 0.500 0.250

---

No. 6
# ErBC | Alexandria via LeMat-Bulk | PBE | relaxed
# E_form: 0.035 eV/atom
# Raw total energy: -6.786 eV per atom
# Excess energy over the best structure of this formula in the dataset: 46.8 kJ per mole of atoms
data_ErBC
_chemical_formula_sum 'Er2 B2 C2'
_symmetry_space_group_name_H-M 'I 4 m m'
_symmetry_Int_Tables_number 107
_symmetry_space_group_name_Hall 'I 4 -2'
_cell_length_a 3.710
_cell_length_b 3.710
_cell_length_c 6.418
_cell_angle_alpha 90.00
_cell_angle_beta 90.00
_cell_angle_gamma 90.00
loop_
_atom_site_label
_atom_site_type_symbol
_atom_site_fract_x
_atom_site_fract_y
_atom_site_fract_z
Er1 Er 0.000 0.000 0.000
B1 B 0.000 0.000 0.598
C1 C 0.000 0.000 0.381